An optimized crystal structure of Sr3Zn2Sn2Au4, computed with PBE.

For the energy of formation from the pure elements, the calculation gives -0.53 eV per atom. As for the volume: 294 Å³/cell. The density of states at the Fermi level comes out at 6.33 states/eV per cell.

Cell lengths 4.6861, 4.6861, 15.4757 Å; angles 90.00, 90.00, 120.00 degrees
Fractional coordinates of all 11 atoms:
Sr (0.0000, 0.0000, 0.0000)
Sr (0.0000, 0.0000, 0.2651)
Sr (0.0000, 0.0000, 0.7349)
Zn (0.3333, 0.6667, 0.1324)
Zn (0.6667, 0.3333, 0.8676)
Sn (0.3333, 0.6667, 0.5784)
Sn (0.6667, 0.3333, 0.4216)
Au (0.3333, 0.6667, 0.3922)
Au (0.3333, 0.6667, 0.8710)
Au (0.6667, 0.3333, 0.1290)
Au (0.6667, 0.3333, 0.6078)

=====

An optimized crystal structure of Sr2Zn4Sn3Au, computed with PBE.

For the energy of formation from the pure elements, the calculation gives -0.39 eV per atom. As for the volume: 237 Å³/cell. The density of states at the Fermi level comes out at 2.96 states/eV per cell.

Cell lengths 4.5039, 4.5039, 11.6888 Å; angles 90.00, 90.00, 90.00 degrees
Fractional coordinates of all 10 atoms:
Sr (0.0000, 0.5000, 0.2460)
Sr (0.5000, 0.0000, 0.7540)
Zn (0.0000, 0.0000, 0.5000)
Zn (0.0000, 0.5000, 0.8659)
Zn (0.5000, 0.0000, 0.1341)
Zn (0.5000, 0.5000, 0.5000)
Sn (0.0000, 0.0000, 0.0000)
Sn (0.0000, 0.5000, 0.6372)
Sn (0.5000, 0.0000, 0.3628)
Au (0.5000, 0.5000, 0.0000)

=====

An optimized crystal structure of SrZnSn2Au, computed with PBE.

For the energy of formation from the pure elements, the calculation gives -0.13 eV per atom. The polymorph energy (0 for the lowest one) is 298.7 meV/atom. As for the volume: 141 Å³/cell. The density of states at the Fermi level comes out at 2.24 states/eV per cell.

Cell lengths 5.3234, 5.3234, 4.9686 Å; angles 90.00, 90.00, 90.00 degrees
Fractional coordinates of all 5 atoms:
Sr (0.0000, 0.0000, 0.0000)
Zn (0.5000, 0.5000, 0.5000)
Sn (0.0000, 0.5000, 0.5000)
Sn (0.5000, 0.0000, 0.5000)
Au (0.5000, 0.5000, 0.0000)

=====

An optimized crystal structure of Sr2Zn3Sn4Au, computed with PBE.

For the energy of formation from the pure elements, the calculation gives -0.40 eV per atom. As for the volume: 253 Å³/cell. The density of states at the Fermi level comes out at 2.83 states/eV per cell.

Cell lengths 4.7205, 4.7205, 11.3336 Å; angles 90.00, 90.00, 90.00 degrees
Fractional coordinates of all 10 atoms:
Sr (0.0000, 0.5000, 0.2395)
Sr (0.5000, 0.0000, 0.7605)
Zn (0.0000, 0.0000, 0.0000)
Zn (0.0000, 0.5000, 0.6362)
Zn (0.5000, 0.0000, 0.3638)
Sn (0.0000, 0.0000, 0.5000)
Sn (0.0000, 0.5000, 0.8684)
Sn (0.5000, 0.0000, 0.1316)
Sn (0.5000, 0.5000, 0.5000)
Au (0.5000, 0.5000, 0.0000)

=====

An optimized crystal structure of TaSnAu2, computed with PBE.

For the energy of formation from the pure elements, the calculation gives -0.01 eV per atom. As for the volume: 80 Å³/cell. The density of states at the Fermi level comes out at 1.99 states/eV per cell.

Cell lengths 3.0436, 3.0436, 8.5869 Å; angles 90.00, 90.00, 90.00 degrees
Fractional coordinates of all 4 atoms:
Ta (0.0000, 0.0000, 0.0000)
Sn (0.0000, 0.0000, 0.5000)
Au (0.5000, 0.5000, 0.2228)
Au (0.5000, 0.5000, 0.7772)

=====

An optimized crystal structure of TaSnAu3, computed with PBE.

For the energy of formation from the pure elements, the calculation gives 0.78 eV per atom. The polymorph energy (0 for the lowest one) is 0.0 meV/atom. As for the volume: 136 Å³/cell. The density of states at the Fermi level comes out at 5.17 states/eV per cell.

Cell lengths 5.1377, 5.1377, 5.1377 Å; angles 90.00, 90.00, 90.00 degrees
Fractional coordinates of all 5 atoms:
Ta (0.0000, 0.0000, 0.0000)
Sn (0.5000, 0.5000, 0.5000)
Au (0.0000, 0.0000, 0.5000)
Au (0.0000, 0.5000, 0.0000)
Au (0.5000, 0.0000, 0.0000)

=====

An optimized crystal structure of Ta3SnAu, computed with PBE.

For the energy of formation from the pure elements, the calculation gives 1.50 eV per atom. The polymorph energy (0 for the lowest one) is 0.0 meV/atom. As for the volume: 122 Å³/cell. The density of states at the Fermi level comes out at 5.23 states/eV per cell.

Cell lengths 4.9539, 4.9539, 4.9539 Å; angles 90.00, 90.00, 90.00 degrees
Fractional coordinates of all 5 atoms:
Ta (0.0000, 0.0000, 0.5000)
Ta (0.0000, 0.5000, 0.0000)
Ta (0.5000, 0.0000, 0.0000)
Sn (0.5000, 0.5000, 0.5000)
Au (0.0000, 0.0000, 0.0000)

=====

An optimized crystal structure of TaSnAu2, computed with PBE.

For the energy of formation from the pure elements, the calculation gives 0.24 eV per atom. As for the volume: 166 Å³/cell. The density of states at the Fermi level comes out at 8.95 states/eV per cell.

Cell lengths 6.0857, 6.0857, 6.0857 Å; angles 103.13, 103.13, 123.07 degrees
Fractional coordinates of all 8 atoms:
Ta (0.0000, 0.0000, 0.0000)
Ta (0.7500, 0.2500, 0.5000)
Sn (0.2500, 0.7500, 0.5000)
Sn (0.5000, 0.5000, 0.0000)
Au (0.1188, 0.6250, 0.9938)
Au (0.3750, 0.3688, 0.4938)
Au (0.6312, 0.1250, 0.0062)
Au (0.8750, 0.8812, 0.5062)

=====

An optimized crystal structure of TaSnAu3, computed with PBE.

For the energy of formation from the pure elements, the calculation gives 1.27 eV per atom. The polymorph energy (0 for the lowest one) is 484.1 meV/atom. As for the volume: 129 Å³/cell. The density of states at the Fermi level comes out at 5.63 states/eV per cell.

Cell lengths 5.0587, 5.0587, 5.0587 Å; angles 90.00, 90.00, 90.00 degrees
Fractional coordinates of all 5 atoms:
Ta (0.0000, 0.0000, 0.0000)
Sn (0.5000, 0.5000, 0.5000)
Au (0.0000, 0.5000, 0.5000)
Au (0.5000, 0.0000, 0.5000)
Au (0.5000, 0.5000, 0.0000)

=====

An optimized crystal structure of TaSn2TeAu, computed with PBE.

The energy relative to the elements, uncorrected comes out at 1.352 eV/atom. As for the volume: 172 Å³/cell. The density of states at the Fermi level comes out at 5.24 states/eV per cell.

Cell lengths 5.7921, 5.7921, 5.1150 Å; angles 90.00, 90.00, 90.00 degrees
Fractional coordinates of all 5 atoms:
Ta (0.0000, 0.0000, 0.0000)
Sn (0.0000, 0.5000, 0.5000)
Sn (0.5000, 0.0000, 0.5000)
Te (0.0000, 0.0000, 0.5000)
Au (0.5000, 0.5000, 0.0000)

=====

An optimized crystal structure of Tb5SnAu2, computed with PBE.

For the energy of formation from the pure elements, the calculation gives -0.67 eV per atom. As for the volume: 432 Å³/cell. The density of states at the Fermi level comes out at 18.62 states/eV per cell.

Cell lengths 8.7483, 8.7483, 8.7483 Å; angles 125.01, 125.01, 81.52 degrees
Fractional coordinates of all 16 atoms:
Tb (0.0000, 0.0000, 0.0000)
Tb (0.0131, 0.5131, 0.8145)
Tb (0.1986, 0.0131, 0.5000)
Tb (0.3014, 0.8014, 0.8145)
Tb (0.4869, 0.3014, 0.5000)
Tb (0.5000, 0.5000, 0.0000)
Tb (0.5131, 0.6986, 0.5000)
Tb (0.6986, 0.1986, 0.1855)
Tb (0.8014, 0.9869, 0.5000)
Tb (0.9869, 0.4869, 0.1855)
Sn (0.2500, 0.2500, 0.0000)
Sn (0.7500, 0.7500, 0.0000)
Au (0.1352, 0.3648, 0.5000)
Au (0.3648, 0.8648, 0.2296)
Au (0.6352, 0.1352, 0.7704)
Au (0.8648, 0.6352, 0.5000)

=====

An optimized crystal structure of Tb4Sn2Au, computed with PBE.

For the energy of formation from the pure elements, the calculation gives -0.65 eV per atom. As for the volume: 199 Å³/cell. The density of states at the Fermi level comes out at 5.59 states/eV per cell.

Cell lengths 6.1671, 6.1671, 8.7758 Å; angles 118.86, 118.86, 44.21 degrees
Fractional coordinates of all 7 atoms:
Tb (0.0795, 0.0795, 0.3700)
Tb (0.3212, 0.3212, 0.9296)
Tb (0.6788, 0.6788, 0.0704)
Tb (0.9205, 0.9205, 0.6300)
Sn (0.3547, 0.3547, 0.3408)
Sn (0.6453, 0.6453, 0.6592)
Au (0.0000, 0.0000, 0.0000)

=====

What did the eleventh record say?
An optimized crystal structure of Tb5SnAu2, computed with PBE.

For the energy of formation from the pure elements, the calculation gives -0.67 eV per atom. As for the volume: 432 Å³/cell. The density of states at the Fermi level comes out at 18.62 states/eV per cell.

Cell lengths 8.7483, 8.7483, 8.7483 Å; angles 125.01, 125.01, 81.52 degrees
Fractional coordinates of all 16 atoms:
Tb (0.0000, 0.0000, 0.0000)
Tb (0.0131, 0.5131, 0.8145)
Tb (0.1986, 0.0131, 0.5000)
Tb (0.3014, 0.8014, 0.8145)
Tb (0.4869, 0.3014, 0.5000)
Tb (0.5000, 0.5000, 0.0000)
Tb (0.5131, 0.6986, 0.5000)
Tb (0.6986, 0.1986, 0.1855)
Tb (0.8014, 0.9869, 0.5000)
Tb (0.9869, 0.4869, 0.1855)
Sn (0.2500, 0.2500, 0.0000)
Sn (0.7500, 0.7500, 0.0000)
Au (0.1352, 0.3648, 0.5000)
Au (0.3648, 0.8648, 0.2296)
Au (0.6352, 0.1352, 0.7704)
Au (0.8648, 0.6352, 0.5000)